# 1
A relaxed Al2HgP crystal, computed with PBE.

Results
DFT formation energy = 221 meV/atom
Calculated total energy = -12.31 eV per formula unit
Total magnetic moment = 0.00 Bohr magnetons per cell

a b c (Å): 5.7351 4.6289 3.8708
angles (deg): 78.17 69.89 118.40
With the nearest neighbours (Å) after each atom.
Positions (direct):
P  0.5000  0.5000  0.0000  4 Al 2.70, 2 Hg 2.86
Hg  0.0000  0.5000  0.5000  4 Al 2.70, 2 P 2.86
Al  0.0000  0.0000  0.0000  2 Hg 2.70, 2 P 2.70, 2 Al 2.86
Al  0.5000  0.0000  0.5000  2 P 2.70, 2 Hg 2.70, 2 Al 2.86



# 2
A relaxed NaSm2Dy crystal, computed with PBE.

Results
DFT formation energy = 108 meV/atom
Calculated total energy = -14.93 eV per formula unit
Total magnetic moment = 0.00 Bohr magnetons per cell

a b c (Å): 3.5283 3.5283 10.8451
angles (deg): 90.00 90.00 90.00
With the nearest neighbours (Å) after each atom.
Positions (direct):
Na  0.5000  0.5000  0.5000  4 Na 3.53, 8 Sm 3.83
Sm  0.0000  0.0000  0.7678  4 Sm 3.53, 4 Dy 3.54, 4 Na 3.83
Sm  0.0000  0.0000  0.2322  4 Sm 3.53, 4 Dy 3.54, 4 Na 3.83
Dy  0.5000  0.5000  0.0000  4 Dy 3.53, 8 Sm 3.54



# 3
A relaxed Cu2PBr crystal, computed with PBE.

Results
Calculated total energy = -13.97 eV per formula unit
Total magnetic moment = 0.00 Bohr magnetons per cell

a b c (Å): 2.8741 3.2938 7.3055
angles (deg): 90.00 90.00 90.00
With the nearest neighbours (Å) after each atom.
Positions (direct):
Br  0.5000  0.5000  0.7500  2 Br 2.87
Cu  0.0000  0.0000  0.0765  4 P 2.53, 1 Cu 2.53
Cu  0.0000  0.0000  0.4235  4 P 2.53, 1 Cu 2.53
P  0.5000  0.5000  0.2500  8 Cu 2.53



# 4
A relaxed ReP2HCl crystal, computed with PBE.

Results
Calculated total energy = -22.96 eV per formula unit
Total magnetic moment = 1.42 Bohr magnetons per cell

a b c (Å): 3.7205 3.7205 4.6168
angles (deg): 90.00 90.00 90.00
With the nearest neighbours (Å) after each atom.
Positions (direct):
Re  0.5000  0.5000  0.5000  4 Cl 2.63
H  0.0000  0.0000  0.0000  4 P 1.86
P  0.0000  0.5000  0.0000  2 H 1.86
P  0.5000  0.0000  0.0000  2 H 1.86
Cl  0.0000  0.0000  0.5000  2 H 2.31



# 5
A relaxed LaDyPuO6 crystal, computed with PBE.

Results
Calculated total energy = -81.39 eV per formula unit
Total magnetic moment = 4.00 Bohr magnetons per cell

a b c (Å): 5.7951 5.7951 9.9272
angles (deg): 90.00 90.00 120.00
With the nearest neighbours (Å) after each atom.
Positions (direct):
La  0.0000  0.0000  0.0000  6 O 2.48
La  0.0000  0.0000  0.5000  6 O 2.48
Dy  0.3333  0.6667  0.2500  6 O 2.28
Dy  0.6667  0.3333  0.7500  6 O 2.28
Pu  0.6667  0.3333  0.2500  6 O 2.08
Pu  0.3333  0.6667  0.7500  6 O 2.08
O  0.6581  0.6324  0.1383  1 Pu 2.08, 1 Dy 2.28
O  0.9743  0.3419  0.1383  1 Pu 2.08, 1 Dy 2.28
O  0.3419  0.9743  0.6383  1 Pu 2.08, 1 Dy 2.28
O  0.0257  0.6581  0.8617  1 Pu 2.08, 1 Dy 2.28
O  0.3676  0.3419  0.3617  1 Pu 2.08, 1 Dy 2.28
O  0.9743  0.6324  0.3617  1 Pu 2.08, 1 Dy 2.28
O  0.6324  0.9743  0.8617  1 Pu 2.08, 1 Dy 2.28
O  0.6581  0.0257  0.3617  1 Pu 2.08, 1 Dy 2.28
O  0.0257  0.3676  0.6383  1 Pu 2.08, 1 Dy 2.28
O  0.3676  0.0257  0.1383  1 Pu 2.08, 1 Dy 2.28
O  0.6324  0.6581  0.6383  1 Pu 2.08, 1 Dy 2.28
O  0.3419  0.3676  0.8617  1 Pu 2.08, 1 Dy 2.28



# 6
A relaxed TlOsPt crystal, computed with PBE.

Results
DFT formation energy = 645 meV/atom
Calculated total energy = -17.70 eV per formula unit
Total magnetic moment = 0.00 Bohr magnetons per cell

a b c (Å): 6.3784 6.3784 6.3784
angles (deg): 153.19 153.19 38.27
With the nearest neighbours (Å) after each atom.
Positions (direct):
Os  0.9901  0.9901  0.0000  4 Pt 2.71, 4 Tl 2.96, 4 Os 2.96
Pt  0.3465  0.3465  0.0000  4 Os 2.71, 4 Pt 2.96, 4 Tl 3.04
Tl  0.6634  0.6634  0.0000  4 Os 2.96, 4 Tl 2.96, 4 Pt 3.04



# 7
A relaxed Be4CuAu crystal, computed with PBE.

Results
DFT formation energy = -175 meV/atom
Calculated total energy = -23.33 eV per formula unit
Total magnetic moment = 0.00 Bohr magnetons per cell

a b c (Å): 4.3932 4.3932 4.3932
angles (deg): 60.00 60.00 60.00
With the nearest neighbours (Å) after each atom.
Positions (direct):
Au  0.0000  0.0000  0.0000  12 Be 2.58, 4 Cu 2.69
Be  0.1259  0.6247  0.6247  6 Be 2.19-2.20
Be  0.6247  0.6247  0.6247  6 Be 2.19-2.20
Be  0.6247  0.1259  0.6247  6 Be 2.19-2.20
Be  0.6247  0.6247  0.1259  6 Be 2.19-2.20
Cu  0.2500  0.2500  0.2500  12 Be 2.58, 4 Au 2.69



# 8
A relaxed AcTb5Pr2Dy crystal, computed with PBE.

Results
DFT formation energy = 255 meV/atom
Calculated total energy = -39.13 eV per formula unit
Total magnetic moment = 0.00 Bohr magnetons per cell

a b c (Å): 8.8752 8.8752 10.0835
angles (deg): 116.11 116.11 90.00
With the nearest neighbours (Å) after each atom.
Positions (direct):
Ac  0.2500  0.2500  0.5000  10 Tb 3.67-3.95
Ac  0.7500  0.7500  0.5000  10 Tb 3.67-3.95
Tb  0.9272  0.4272  0.2687  1 Pr 3.05, 1 Dy 3.18
Tb  0.6585  0.1585  0.7313  1 Pr 3.05, 1 Dy 3.18
Tb  0.0728  0.5728  0.7313  1 Pr 3.05, 1 Dy 3.18
Tb  0.1585  0.0728  0.7313  1 Pr 3.05, 1 Dy 3.18
Tb  0.5728  0.6585  0.7313  1 Pr 3.05, 1 Dy 3.18
Tb  0.8415  0.9272  0.2687  1 Pr 3.05, 1 Dy 3.18
Tb  0.4272  0.3415  0.2687  1 Pr 3.05, 1 Dy 3.18
Tb  0.3415  0.8415  0.2687  1 Pr 3.05, 1 Dy 3.18
Tb  0.5000  0.5000  0.0000  4 Pr 3.55, 8 Tb 3.83, 2 Ac 3.95
Tb  0.0000  0.0000  0.0000  4 Pr 3.55, 8 Tb 3.83, 2 Ac 3.95
Pr  0.1177  0.3823  0.0000  1 Pr 2.95, 2 Tb 3.05
Pr  0.6177  0.1177  0.0000  1 Pr 2.95, 2 Tb 3.05
Pr  0.3823  0.8823  0.0000  1 Pr 2.95, 2 Tb 3.05
Pr  0.8823  0.6177  0.0000  1 Pr 2.95, 2 Tb 3.05
Dy  0.2500  0.7500  0.5000  4 Tb 3.18
Dy  0.7500  0.2500  0.5000  4 Tb 3.18



> Number 5 is which compound?

LaDyPuO6



Please write out number 4 again, unchanged.
A relaxed ReP2HCl crystal, computed with PBE.

Results
Calculated total energy = -22.96 eV per formula unit
Total magnetic moment = 1.42 Bohr magnetons per cell

a b c (Å): 3.7205 3.7205 4.6168
angles (deg): 90.00 90.00 90.00
With the nearest neighbours (Å) after each atom.
Positions (direct):
Re  0.5000  0.5000  0.5000  4 Cl 2.63
H  0.0000  0.0000  0.0000  4 P 1.86
P  0.0000  0.5000  0.0000  2 H 1.86
P  0.5000  0.0000  0.0000  2 H 1.86
Cl  0.0000  0.0000  0.5000  2 H 2.31



> Which of these has the highest total magnetic moment?

LaDyPuO6